Entry 1:
# ReP2W, relaxed, DFT PBE
data_ReP2W
_cell_length_a 3.032
_cell_length_b 3.838
_cell_length_c 4.991
_cell_angle_alpha 90.00
_cell_angle_beta 90.00
_cell_angle_gamma 90.00
_space_group_name_H-M_alt 'P m m m'
_space_group_IT_number 47
loop_
_space_group_symop_operation_xyz
'x,y,z'
'-x,-y,-z'
'-x,-y,z'
'x,y,-z'
'x,-y,-z'
'-x,y,z'
'-x,y,-z'
'x,-y,z'
loop_
_atom_site_label
_atom_site_type_symbol
_atom_site_fract_x
_atom_site_fract_y
_atom_site_fract_z
Re1 Re 0.000 0.000 0.000
P1 P 0.000 0.500 0.500
P2 P 0.500 0.500 0.000
W1 W 0.500 0.000 0.500
# electronic total energy	-34.66	eV/f.u.
# DFT formation energy	391	meV per atom
# density of states at the Fermi level	2.66	states/eV per cell

=====

Entry 2:
# Re2PW, relaxed, DFT PBE
data_Re2PW
_cell_length_a 2.913
_cell_length_b 2.913
_cell_length_c 6.740
_cell_angle_alpha 90.00
_cell_angle_beta 90.00
_cell_angle_gamma 90.00
_space_group_name_H-M_alt 'P 4/m m m'
_space_group_IT_number 123
_space_group_name_Hall '-P 4 2'
loop_
_atom_site_label
_atom_site_type_symbol
_atom_site_fract_x
_atom_site_fract_y
_atom_site_fract_z
Re1 Re 0.000 0.000 0.216
P1 P 0.500 0.500 0.000
W1 W 0.500 0.500 0.500
# electronic total energy	-43.30	eV/f.u.
# DFT formation energy	-10	meV per atom
# density of states at the Fermi level	3.57	states/eV per cell

=====

Entry 3:
# ReP4W, relaxed, DFT PBE
data_ReP4W
_cell_length_a 6.908
_cell_length_b 6.908
_cell_length_c 6.908
_cell_angle_alpha 90.00
_cell_angle_beta 90.00
_cell_angle_gamma 90.00
_space_group_name_H-M_alt 'F -4 3 m'
_space_group_IT_number 216
_space_group_name_Hall 'F -4 2 3'
loop_
_atom_site_label
_atom_site_type_symbol
_atom_site_fract_x
_atom_site_fract_y
_atom_site_fract_z
Re1 Re 0.000 0.000 0.000
P1 P 0.125 0.125 0.375
W1 W 0.250 0.250 0.750
# electronic total energy	-41.17	eV/f.u.
# DFT formation energy	979	meV per atom
# density of states at the Fermi level	17.25	states/eV per cell

=====

Entry 4:
# RePW2, relaxed, DFT PBE
data_RePW2
_cell_length_a 3.017
_cell_length_b 3.017
_cell_length_c 6.528
_cell_angle_alpha 90.00
_cell_angle_beta 90.00
_cell_angle_gamma 90.00
_space_group_name_H-M_alt 'P 4 m m'
_space_group_IT_number 99
loop_
_space_group_symop_operation_xyz
'x,y,z'
'-y,x,z'
'-x,-y,z'
'y,-x,z'
'-x,y,z'
'y,x,z'
'x,-y,z'
'-y,-x,z'
loop_
_atom_site_label
_atom_site_type_symbol
_atom_site_fract_x
_atom_site_fract_y
_atom_site_fract_z
Re1 Re 0.000 0.000 0.000
P1 P 0.500 0.500 0.745
W1 W 0.000 0.000 0.542
W2 W 0.500 0.500 0.248
# electronic total energy	-43.37	eV/f.u.
# DFT formation energy	98	meV per atom
# density of states at the Fermi level	2.79	states/eV per cell

=====

Entry 5:
# Re2PW, relaxed, DFT PBE
data_Re2PW
_cell_length_a 2.916
_cell_length_b 4.023
_cell_length_c 5.054
_cell_angle_alpha 90.00
_cell_angle_beta 90.00
_cell_angle_gamma 90.00
_space_group_name_H-M_alt 'P m m m'
_space_group_IT_number 47
loop_
_space_group_symop_operation_xyz
'x,y,z'
'-x,-y,-z'
'-x,-y,z'
'x,y,-z'
'x,-y,-z'
'-x,y,z'
'-x,y,-z'
'x,-y,z'
loop_
_atom_site_label
_atom_site_type_symbol
_atom_site_fract_x
_atom_site_fract_y
_atom_site_fract_z
Re1 Re 0.000 0.000 0.244
P1 P 0.500 0.500 0.000
W1 W 0.500 0.500 0.500
# electronic total energy	-42.34	eV/f.u.
# DFT formation energy	229	meV per atom
# density of states at the Fermi level	2.42	states/eV per cell

=====

Entry 6:
# Re2PW, relaxed, DFT PBE
data_Re2PW
_cell_length_a 3.856
_cell_length_b 2.881
_cell_length_c 10.576
_cell_angle_alpha 90.00
_cell_angle_beta 90.00
_cell_angle_gamma 90.00
_space_group_name_H-M_alt 'A m m 2'
_space_group_IT_number 38
loop_
_space_group_symop_operation_xyz
'x,y,z'
'-x,-y,z'
'-x,y,z'
'x,-y,z'
'x,y+1/2,z+1/2'
'-x,-y+1/2,z+1/2'
'-x,y+1/2,z+1/2'
'x,-y+1/2,z+1/2'
loop_
_atom_site_label
_atom_site_type_symbol
_atom_site_fract_x
_atom_site_fract_y
_atom_site_fract_z
Re1 Re 0.000 0.000 0.000
Re2 Re 0.500 0.000 0.371
P1 P 0.000 0.000 0.232
W1 W 0.500 0.000 0.639
# electronic total energy	-42.98	eV/f.u.
# DFT formation energy	69	meV per atom
# density of states at the Fermi level	9.22	states/eV per cell

=====

Entry 7:
# RePW2, relaxed, DFT PBE
data_RePW2
_cell_length_a 2.941
_cell_length_b 4.045
_cell_length_c 5.084
_cell_angle_alpha 90.00
_cell_angle_beta 90.00
_cell_angle_gamma 90.00
_space_group_name_H-M_alt 'P m m 2'
_space_group_IT_number 25
loop_
_space_group_symop_operation_xyz
'x,y,z'
'-x,-y,z'
'-x,y,z'
'x,-y,z'
loop_
_atom_site_label
_atom_site_type_symbol
_atom_site_fract_x
_atom_site_fract_y
_atom_site_fract_z
Re1 Re 0.000 0.000 0.000
P1 P 0.500 0.500 0.746
W1 W 0.000 0.000 0.516
W2 W 0.500 0.500 0.239
# electronic total energy	-42.85	eV/f.u.
# DFT formation energy	229	meV per atom
# density of states at the Fermi level	2.55	states/eV per cell

=====

Entry 8:
# ReP2W, relaxed, DFT PBE
data_ReP2W
_cell_length_a 2.994
_cell_length_b 3.650
_cell_length_c 5.284
_cell_angle_alpha 90.00
_cell_angle_beta 90.00
_cell_angle_gamma 90.00
_space_group_name_H-M_alt 'P m m m'
_space_group_IT_number 47
loop_
_space_group_symop_operation_xyz
'x,y,z'
'-x,-y,-z'
'-x,-y,z'
'x,y,-z'
'x,-y,-z'
'-x,y,z'
'-x,y,-z'
'x,-y,z'
loop_
_atom_site_label
_atom_site_type_symbol
_atom_site_fract_x
_atom_site_fract_y
_atom_site_fract_z
Re1 Re 0.000 0.000 0.000
P1 P 0.000 0.500 0.280
W1 W 0.500 0.000 0.500
# electronic total energy	-35.30	eV/f.u.
# DFT formation energy	230	meV per atom
# density of states at the Fermi level	2.33	states/eV per cell

=====

Q: What is the formula in the seventh record?
A: RePW2

=====

Q: What is the formula in the seventh record?
A: RePW2

=====

Q: Among the records above, which one has the lowest electronic total energy?
A: number 4

=====

Q: What is the density of states at the Fermi level in the fifth record?
A: 2.42 states/eV per cell